[1]
First-principles (PBE-GGA) data for crystalline BeVOs3 at its relaxed geometry, as listed in the Alexandria database.

Computed properties:
Density of states at the Fermi level in states/eV/cell: 5.4
Calculated total energy in eV per atom: -7.383
Energy relative to the elements in eV/atom: 1.924
V in Å³/atom: 17.67
Density in Mg/m³: 11.9
Relative energy among the computed polymorphs in eV/f.u.: 7.37

Geometry as POSCAR:
```
BeVOs3
1.0
-3.383 2.554 1.367
-1.966 -3.567 1.800
2.127 0.764 3.837
Os V Be
3 1 1
direct
0.000 0.000 0.500
0.500 0.000 0.000
0.000 0.500 0.000
0.000 0.000 0.000
0.500 0.500 0.500
```

---

[2]
First-principles (PBE-GGA) data for crystalline BeV3Os at its relaxed geometry, as listed in the Alexandria database.

Computed properties:
Density of states at the Fermi level in states/eV/cell: 6.6
Calculated total energy in eV per atom: -7.106
Energy relative to the elements in eV/atom: 1.357
V in Å³/atom: 18.90
Density in Mg/m³: 6.2
Relative energy among the computed polymorphs in eV/f.u.: 3.61

Geometry as POSCAR:
```
BeV3Os
1.0
-1.271 -4.374 -0.013
3.384 -0.975 -2.890
2.772 -0.816 3.521
V Be Os
3 1 1
direct
0.000 0.000 0.500
0.000 0.500 0.000
0.500 0.000 0.000
0.500 0.500 0.500
0.000 0.000 0.000
```

---

[3]
First-principles (PBE-GGA) data for crystalline Be8V3Os at its relaxed geometry, as listed in the Alexandria database.

Computed properties:
Density of states at the Fermi level in states/eV/cell: 4.3
Calculated total energy in eV per atom: -6.067
Energy relative to the elements in eV/atom: -0.367
V in Å³/atom: 9.54
Density in Mg/m³: 6.0

Geometry as POSCAR:
```
Be8V3Os
1.0
-3.370 0.263 -2.701
0.126 -3.110 3.006
-3.316 4.265 4.552
Be V Os
8 3 1
direct
0.993 0.497 0.750
0.503 0.497 0.750
0.163 0.327 0.249
0.333 0.667 0.001
0.333 0.667 0.498
0.673 0.837 0.249
0.163 0.837 0.249
0.503 0.007 0.750
0.667 0.333 0.436
0.000 0.000 0.934
0.667 0.333 0.067
0.000 0.000 0.564
```

---

[4]
First-principles (PBE-GGA) data for crystalline Be2VOs2 at its relaxed geometry, as listed in the Alexandria database.

Computed properties:
Density of states at the Fermi level in states/eV/cell: 5.0
Calculated total energy in eV per atom: -7.356
Energy relative to the elements in eV/atom: 0.450
V in Å³/atom: 13.28
Density in Mg/m³: 11.2
Relative energy among the computed polymorphs in eV/f.u.: 3.67

Geometry as POSCAR:
```
Be2VOs2
1.0
-3.331 -1.827 -1.710
1.914 -0.026 -3.701
0.772 -4.365 -1.916
Be Os V
2 2 1
direct
0.250 0.750 0.500
0.750 0.250 0.500
0.658 0.658 0.684
0.342 0.342 0.316
0.000 0.000 0.000
```

---

[5]
First-principles (PBE-GGA) data for crystalline BeVOs3 at its relaxed geometry, as listed in the Alexandria database.

Computed properties:
Density of states at the Fermi level in states/eV/cell: 2.8
Calculated total energy in eV per atom: -8.857
Energy relative to the elements in eV/atom: 0.450
V in Å³/atom: 13.51
Density in Mg/m³: 15.5
Relative energy among the computed polymorphs in eV/f.u.: 0.00

Geometry as POSCAR:
```
BeVOs3
1.0
-0.318 1.128 3.900
-4.057 -0.219 -0.268
0.136 -3.907 1.141
Os V Be
3 1 1
direct
0.500 0.000 0.000
0.000 0.500 0.000
0.000 0.000 0.500
0.500 0.500 0.500
0.000 0.000 0.000
```

---

[6]
First-principles (PBE-GGA) data for crystalline BeV3Os at its relaxed geometry, as listed in the Alexandria database.

Computed properties:
Density of states at the Fermi level in states/eV/cell: 8.9
Calculated total energy in eV per atom: -7.828
Energy relative to the elements in eV/atom: 0.635
V in Å³/atom: 13.29
Density in Mg/m³: 8.8
Relative energy among the computed polymorphs in eV/f.u.: 0.00

Geometry as POSCAR:
```
BeV3Os
1.0
-3.309 0.785 2.201
-2.227 0.097 -3.382
-0.708 -3.973 0.352
V Os Be
3 1 1
direct
0.000 0.000 0.500
0.000 0.500 0.000
0.500 0.000 0.000
0.500 0.500 0.500
0.000 0.000 0.000
```

---

[7]
First-principles (PBE-GGA) data for crystalline Be2V4Os at its relaxed geometry, as listed in the Alexandria database.

Computed properties:
Density of states at the Fermi level in states/eV/cell: 6.2
Calculated total energy in eV per atom: -6.770
Energy relative to the elements in eV/atom: 1.109
V in Å³/atom: 17.46
Density in Mg/m³: 5.6

Geometry as POSCAR:
```
Be2V4Os
1.0
-0.512 -4.556 -0.491
4.534 -0.432 -0.718
2.838 -3.195 5.040
V Be Os
4 2 1
direct
0.207 0.207 0.586
0.793 0.793 0.414
0.000 0.500 0.000
0.500 0.000 0.000
0.411 0.411 0.178
0.589 0.589 0.822
0.000 0.000 0.000
```

---

[8]
First-principles (PBE-GGA) data for crystalline Be2VOs2 at its relaxed geometry, as listed in the Alexandria database.

Computed properties:
Density of states at the Fermi level in states/eV/cell: 4.2
Calculated total energy in eV per atom: -7.730
Energy relative to the elements in eV/atom: 0.076
V in Å³/atom: 12.18
Density in Mg/m³: 12.3
Relative energy among the computed polymorphs in eV/f.u.: 1.80

Geometry as POSCAR:
```
Be2VOs2
1.0
6.515 0.000 0.000
0.000 6.515 0.000
0.000 0.000 2.869
V Os Be
2 4 4
direct
0.500 0.500 0.000
0.000 0.000 0.000
0.851 0.649 0.000
0.351 0.851 0.000
0.649 0.149 0.000
0.149 0.351 0.000
0.646 0.854 0.500
0.354 0.146 0.500
0.854 0.354 0.500
0.146 0.646 0.500
```

---

[9]
First-principles (PBE-GGA) data for crystalline Be2VOs2 at its relaxed geometry, as listed in the Alexandria database.

Computed properties:
Density of states at the Fermi level in states/eV/cell: 5.3
Calculated total energy in eV per atom: -8.090
Energy relative to the elements in eV/atom: -0.283
V in Å³/atom: 11.29
Density in Mg/m³: 13.2
Relative energy among the computed polymorphs in eV/f.u.: 0.00

Geometry as POSCAR:
```
Be2VOs2
1.0
6.201 0.000 0.000
0.000 6.201 0.000
0.000 0.000 2.937
Os Be V
4 4 2
direct
0.827 0.327 0.500
0.673 0.827 0.500
0.173 0.673 0.500
0.327 0.173 0.500
0.378 0.878 0.000
0.122 0.378 0.000
0.878 0.622 0.000
0.622 0.122 0.000
0.000 0.000 0.000
0.500 0.500 0.000
```

---

[10]
First-principles (PBE-GGA) data for crystalline Be2VOs at its relaxed geometry, as listed in the Alexandria database.

Computed properties:
Density of states at the Fermi level in states/eV/cell: 3.4
Calculated total energy in eV per atom: -7.060
Energy relative to the elements in eV/atom: -0.109
V in Å³/atom: 10.88
Density in Mg/m³: 9.9
Relative energy among the computed polymorphs in eV/f.u.: 0.00

Geometry as POSCAR:
```
Be2VOs
1.0
0.000 2.791 2.791
2.791 0.000 2.791
2.791 2.791 0.000
V Be Os
1 2 1
direct
0.000 0.000 0.000
0.250 0.250 0.250
0.750 0.750 0.750
0.500 0.500 0.500
```

---

[11]
First-principles (PBE-GGA) data for crystalline Be2VOs at its relaxed geometry, as listed in the Alexandria database.

Computed properties:
Density of states at the Fermi level in states/eV/cell: 2.6
Calculated total energy in eV per atom: -6.568
Energy relative to the elements in eV/atom: 0.382
V in Å³/atom: 12.60
Density in Mg/m³: 8.5
Relative energy among the computed polymorphs in eV/f.u.: 1.97

Geometry as POSCAR:
```
Be2VOs
1.0
-1.477 -1.420 -2.795
-0.327 -3.003 1.698
-8.453 0.181 2.227
Os V Be
2 2 4
direct
0.000 0.000 0.000
0.750 0.250 0.500
0.500 0.500 0.000
0.250 0.750 0.500
0.375 0.355 0.750
0.105 0.625 0.250
0.645 0.125 0.250
0.875 0.895 0.750
```

---

[12]
First-principles (PBE-GGA) data for crystalline BeOs2W at its relaxed geometry, as listed in the Alexandria database.

Computed properties:
Density of states at the Fermi level in states/eV/cell: 2.4
Calculated total energy in eV per atom: -9.716
Energy relative to the elements in eV/atom: 0.069
V in Å³/atom: 13.48
Density in Mg/m³: 17.7

Geometry as POSCAR:
```
BeOs2W
1.0
4.976 -0.002 0.001
2.281 4.423 -0.001
-3.191 -2.929 2.450
W Os Be
1 2 1
direct
0.511 0.511 0.000
0.983 0.983 0.000
0.249 0.749 0.500
0.758 0.258 0.500
```